# 1
{
  "formula": "InBiSbO6",
  "functional": "PBE",
  "state": "optimized geometry",
  "volume_a3_per_atom": 13.79,
  "raw_formation_energy_kj_per_mol_atoms": -126,
  "lattice": [[4.963, 0.000, 0.000], [0.000, 4.963, 0.000], [0.000, 0.000, 10.074]],
  "species": ["In", "In", "Bi", "Bi", "Sb", "Sb", "O", "O", "O", "O", "O", "O", "O", "O", "O", "O", "O", "O"],
  "fractional_positions": [[0.000, 0.000, 0.000], [0.500, 0.500, 0.500], [0.000, 0.000, 0.669], [0.500, 0.500, 0.169], [0.000, 0.000, 0.335], [0.500, 0.500, 0.835], [0.182, 0.182, 0.178], [0.190, 0.190, 0.487], [0.211, 0.211, 0.838], [0.289, 0.711, 0.338], [0.310, 0.690, 0.987], [0.318, 0.682, 0.678], [0.682, 0.318, 0.678], [0.690, 0.310, 0.987], [0.711, 0.289, 0.338], [0.789, 0.789, 0.838], [0.810, 0.810, 0.487], [0.818, 0.818, 0.178]]
}



# 2
{
  "formula": "ScInBi2O6",
  "functional": "PBE",
  "state": "optimized geometry",
  "volume_a3_per_atom": 14.49,
  "raw_formation_energy_kj_per_mol_atoms": -180,
  "lattice": [[2.916, 1.684, 4.918], [-2.916, 1.684, 4.918], [0.000, -3.368, 4.918]],
  "species": ["Sc", "In", "Bi", "Bi", "O", "O", "O", "O", "O", "O"],
  "fractional_positions": [[0.000, 0.000, 0.000], [0.501, 0.501, 0.501], [0.284, 0.284, 0.284], [0.784, 0.784, 0.784], [0.147, 0.331, 0.707], [0.196, 0.844, 0.651], [0.331, 0.707, 0.147], [0.651, 0.196, 0.844], [0.707, 0.147, 0.331], [0.844, 0.651, 0.196]]
}



# 3
{
  "formula": "Sc4InBiO",
  "functional": "PBE",
  "state": "optimized geometry",
  "volume_a3_per_atom": 20.96,
  "raw_formation_energy_kj_per_mol_atoms": -113,
  "lattice": [[3.082, -7.717, 0.000], [3.082, 7.717, 0.000], [0.000, 0.000, 6.168]],
  "species": ["Sc", "Sc", "Sc", "Sc", "Sc", "Sc", "Sc", "Sc", "In", "In", "Bi", "Bi", "O", "O"],
  "fractional_positions": [[0.000, 0.500, 0.000], [0.000, 0.500, 0.500], [0.089, 0.911, 0.750], [0.406, 0.594, 0.750], [0.500, 0.000, 0.000], [0.500, 0.000, 0.500], [0.594, 0.406, 0.250], [0.911, 0.089, 0.250], [0.107, 0.893, 0.250], [0.893, 0.107, 0.750], [0.397, 0.603, 0.250], [0.603, 0.397, 0.750], [0.249, 0.751, 0.750], [0.751, 0.249, 0.250]]
}



# 4
{
  "formula": "InBiSeO2",
  "functional": "PBE",
  "state": "optimized geometry",
  "volume_a3_per_atom": 17.99,
  "raw_formation_energy_kj_per_mol_atoms": -91,
  "lattice": [[2.724, -6.095, 0.000], [2.724, 6.095, 0.000], [0.000, 0.000, 5.418]],
  "species": ["In", "In", "Bi", "Bi", "Se", "Se", "O", "O", "O", "O"],
  "fractional_positions": [[0.092, 0.908, 0.750], [0.908, 0.092, 0.250], [0.396, 0.604, 0.750], [0.604, 0.396, 0.250], [0.248, 0.752, 0.250], [0.752, 0.248, 0.750], [0.249, 0.249, 0.000], [0.249, 0.249, 0.500], [0.751, 0.751, 0.000], [0.751, 0.751, 0.500]]
}



# 5
{
  "formula": "Sm2InBiO6",
  "functional": "PBE",
  "state": "optimized geometry",
  "volume_a3_per_atom": 16.79,
  "raw_formation_energy_kj_per_mol_atoms": -208,
  "lattice": [[5.450, 0.000, 0.000], [0.000, 5.450, 0.000], [0.000, 0.000, 5.652]],
  "species": ["Sm", "Sm", "In", "Bi", "O", "O", "O", "O", "O", "O"],
  "fractional_positions": [[0.000, 0.500, 0.000], [0.500, 0.000, 0.000], [0.000, 0.000, 0.585], [0.500, 0.500, 0.573], [0.000, 0.000, 0.219], [0.244, 0.244, 0.769], [0.244, 0.756, 0.769], [0.500, 0.500, 0.160], [0.756, 0.244, 0.769], [0.756, 0.756, 0.769]]
}



# 6
{
  "formula": "Sm4InBiO",
  "functional": "PBE",
  "state": "optimized geometry",
  "volume_a3_per_atom": 27.42,
  "raw_formation_energy_kj_per_mol_atoms": -115,
  "lattice": [[3.308, -8.851, 0.000], [3.308, 8.851, 0.000], [0.000, 0.000, 6.554]],
  "species": ["Sm", "Sm", "Sm", "Sm", "Sm", "Sm", "Sm", "Sm", "In", "In", "Bi", "Bi", "O", "O"],
  "fractional_positions": [[0.000, 0.500, 0.000], [0.000, 0.500, 0.500], [0.065, 0.935, 0.750], [0.419, 0.581, 0.750], [0.500, 0.000, 0.000], [0.500, 0.000, 0.500], [0.581, 0.419, 0.250], [0.935, 0.065, 0.250], [0.114, 0.886, 0.250], [0.886, 0.114, 0.750], [0.390, 0.610, 0.250], [0.610, 0.390, 0.750], [0.284, 0.716, 0.750], [0.716, 0.284, 0.250]]
}



# 7
{
  "formula": "InSnBiO6",
  "functional": "PBE",
  "state": "optimized geometry",
  "volume_a3_per_atom": 13.56,
  "raw_formation_energy_kj_per_mol_atoms": -125,
  "lattice": [[4.942, 0.000, 0.000], [0.000, 4.942, 0.000], [0.000, 0.000, 9.991]],
  "species": ["In", "In", "Sn", "Sn", "Bi", "Bi", "O", "O", "O", "O", "O", "O", "O", "O", "O", "O", "O", "O"],
  "fractional_positions": [[0.000, 0.000, 0.000], [0.500, 0.500, 0.500], [0.000, 0.000, 0.333], [0.500, 0.500, 0.833], [0.000, 0.000, 0.667], [0.500, 0.500, 0.167], [0.189, 0.189, 0.497], [0.192, 0.192, 0.172], [0.199, 0.199, 0.831], [0.301, 0.699, 0.331], [0.308, 0.692, 0.672], [0.311, 0.689, 0.997], [0.689, 0.311, 0.997], [0.692, 0.308, 0.672], [0.699, 0.301, 0.331], [0.801, 0.801, 0.831], [0.808, 0.808, 0.172], [0.811, 0.811, 0.497]]
}



# 8
{
  "formula": "In2SnBiO6",
  "functional": "PBE",
  "state": "optimized geometry",
  "volume_a3_per_atom": 14.45,
  "raw_formation_energy_kj_per_mol_atoms": -131,
  "lattice": [[2.887, 1.667, 5.005], [-2.887, 1.667, 5.005], [0.000, -3.333, 5.005]],
  "species": ["In", "In", "Sn", "Bi", "O", "O", "O", "O", "O", "O"],
  "fractional_positions": [[0.000, 0.000, 0.000], [0.494, 0.494, 0.494], [0.709, 0.709, 0.709], [0.218, 0.218, 0.218], [0.104, 0.402, 0.799], [0.314, 0.865, 0.643], [0.402, 0.799, 0.104], [0.643, 0.314, 0.865], [0.799, 0.104, 0.402], [0.865, 0.643, 0.314]]
}



# 9
{
  "formula": "Sr2In3BiO8",
  "functional": "PBE",
  "state": "optimized geometry",
  "volume_a3_per_atom": 16.55,
  "raw_formation_energy_kj_per_mol_atoms": -178,
  "lattice": [[3.362, 1.941, 5.919], [-3.362, 1.941, 5.919], [0.000, -3.882, 5.919]],
  "species": ["Sr", "Sr", "In", "In", "In", "Bi", "O", "O", "O", "O", "O", "O", "O", "O"],
  "fractional_positions": [[0.000, 0.000, 0.000], [0.375, 0.375, 0.375], [0.374, 0.374, 0.886], [0.374, 0.886, 0.374], [0.886, 0.374, 0.374], [0.757, 0.757, 0.757], [0.127, 0.127, 0.579], [0.127, 0.579, 0.127], [0.142, 0.142, 0.142], [0.150, 0.633, 0.633], [0.579, 0.127, 0.127], [0.600, 0.600, 0.600], [0.633, 0.150, 0.633], [0.633, 0.633, 0.150]]
}



# 10
{
  "formula": "SrInBi2O6",
  "functional": "PBE",
  "state": "optimized geometry",
  "volume_a3_per_atom": 16.08,
  "raw_formation_energy_kj_per_mol_atoms": -151,
  "lattice": [[2.966, 1.712, 5.275], [-2.966, 1.712, 5.275], [0.000, -3.425, 5.275]],
  "species": ["Sr", "In", "Bi", "Bi", "O", "O", "O", "O", "O", "O"],
  "fractional_positions": [[0.000, 0.000, 0.000], [0.484, 0.484, 0.484], [0.275, 0.275, 0.275], [0.782, 0.782, 0.782], [0.087, 0.641, 0.423], [0.191, 0.577, 0.862], [0.423, 0.087, 0.641], [0.577, 0.862, 0.191], [0.641, 0.423, 0.087], [0.862, 0.191, 0.577]]
}



# 11
{
  "formula": "Sr2InBiO5",
  "functional": "PBE",
  "state": "optimized geometry",
  "volume_a3_per_atom": 16.15,
  "raw_formation_energy_kj_per_mol_atoms": -185,
  "lattice": [[1.782, -7.733, 0.000], [1.782, 7.733, 0.000], [0.000, 0.000, 10.548]],
  "species": ["Sr", "Sr", "Sr", "Sr", "In", "In", "Bi", "Bi", "O", "O", "O", "O", "O", "O", "O", "O", "O", "O"],
  "fractional_positions": [[0.117, 0.883, 0.500], [0.136, 0.864, 0.103], [0.864, 0.136, 0.603], [0.883, 0.117, 0.000], [0.224, 0.776, 0.827], [0.776, 0.224, 0.327], [0.464, 0.536, 0.278], [0.536, 0.464, 0.778], [0.089, 0.911, 0.875], [0.274, 0.726, 0.468], [0.326, 0.674, 0.198], [0.358, 0.642, 0.794], [0.494, 0.506, 0.073], [0.506, 0.494, 0.573], [0.642, 0.358, 0.294], [0.674, 0.326, 0.698], [0.726, 0.274, 0.968], [0.911, 0.089, 0.375]]
}



# 12
{
  "formula": "TaInBi2O7",
  "functional": "PBE",
  "state": "optimized geometry",
  "volume_a3_per_atom": 14.20,
  "raw_formation_energy_kj_per_mol_atoms": -176,
  "lattice": [[-3.779, 3.823, 5.406], [3.779, -3.823, 5.406], [3.779, 3.823, -5.406]],
  "species": ["Ta", "Ta", "In", "In", "Bi", "Bi", "Bi", "Bi", "O", "O", "O", "O", "O", "O", "O", "O", "O", "O", "O", "O", "O", "O"],
  "fractional_positions": [[0.000, 0.000, 0.000], [0.500, 0.000, 0.500], [0.500, 0.000, 0.000], [0.500, 0.500, 0.500], [0.000, 0.000, 0.500], [0.000, 0.500, 0.000], [0.000, 0.500, 0.500], [0.500, 0.500, 0.000], [0.120, 0.370, 0.750], [0.149, 0.321, 0.218], [0.149, 0.931, 0.828], [0.209, 0.959, 0.250], [0.397, 0.069, 0.718], [0.397, 0.679, 0.328], [0.400, 0.650, 0.750], [0.600, 0.350, 0.250], [0.603, 0.321, 0.672], [0.603, 0.931, 0.282], [0.791, 0.041, 0.750], [0.851, 0.069, 0.172], [0.851, 0.679, 0.782], [0.880, 0.630, 0.250]]
}



# 13
{
  "formula": "Ta4InBi3O16",
  "functional": "PBE",
  "state": "optimized geometry",
  "volume_a3_per_atom": 13.54,
  "raw_formation_energy_kj_per_mol_atoms": -217,
  "lattice": [[5.509, 0.000, 0.000], [-0.099, 7.757, 0.000], [-0.341, -1.528, 7.607]],
  "species": ["Ta", "Ta", "Ta", "Ta", "In", "Bi", "Bi", "Bi", "O", "O", "O", "O", "O", "O", "O", "O", "O", "O", "O", "O", "O", "O", "O", "O"],
  "fractional_positions": [[0.000, 0.000, 0.000], [0.022, 0.495, 0.979], [0.464, 0.868, 0.670], [0.493, 0.367, 0.648], [0.532, 0.309, 0.153], [0.003, 0.554, 0.441], [0.492, 0.798, 0.206], [0.957, 0.063, 0.499], [0.099, 0.738, 0.000], [0.155, 0.966, 0.768], [0.202, 0.309, 0.497], [0.242, 0.862, 0.433], [0.245, 0.498, 0.209], [0.310, 0.075, 0.125], [0.323, 0.386, 0.880], [0.382, 0.622, 0.653], [0.555, 0.126, 0.654], [0.681, 0.351, 0.425], [0.684, 0.891, 0.869], [0.702, 0.809, 0.481], [0.768, 0.549, 0.162], [0.815, 0.467, 0.770], [0.827, 0.990, 0.217], [0.879, 0.236, 0.005]]
}



# 14
{
  "formula": "TaIn2BiO8",
  "functional": "PBE",
  "state": "optimized geometry",
  "volume_a3_per_atom": 13.39,
  "raw_formation_energy_kj_per_mol_atoms": -163,
  "lattice": [[4.929, 0.000, 0.000], [0.000, 6.616, 0.000], [-0.168, 0.000, 4.929]],
  "species": ["Ta", "In", "In", "Bi", "O", "O", "O", "O", "O", "O", "O", "O"],
  "fractional_positions": [[0.000, 0.000, 0.000], [0.500, 0.242, 0.500], [0.500, 0.758, 0.500], [0.000, 0.500, 0.000], [0.187, 0.234, 0.814], [0.187, 0.766, 0.814], [0.289, 0.000, 0.290], [0.304, 0.500, 0.306], [0.696, 0.500, 0.694], [0.711, 0.000, 0.710], [0.813, 0.234, 0.186], [0.813, 0.766, 0.186]]
}



# 15
{
  "formula": "TbIn2BiO6",
  "functional": "PBE",
  "state": "optimized geometry",
  "volume_a3_per_atom": 14.49,
  "raw_formation_energy_kj_per_mol_atoms": -187,
  "lattice": [[2.899, 1.674, 4.977], [-2.899, 1.674, 4.977], [0.000, -3.347, 4.977]],
  "species": ["Tb", "In", "In", "Bi", "O", "O", "O", "O", "O", "O"],
  "fractional_positions": [[0.000, 0.000, 0.000], [0.282, 0.282, 0.282], [0.783, 0.783, 0.783], [0.501, 0.501, 0.501], [0.084, 0.668, 0.409], [0.149, 0.585, 0.927], [0.409, 0.084, 0.668], [0.585, 0.927, 0.149], [0.668, 0.409, 0.084], [0.927, 0.149, 0.585]]
}



# 16
{
  "formula": "In2TcBiO8",
  "functional": "PBE",
  "state": "optimized geometry",
  "volume_a3_per_atom": 13.46,
  "raw_formation_energy_kj_per_mol_atoms": -126,
  "lattice": [[3.452, -3.508, 0.000], [3.452, 3.508, 0.000], [0.000, 0.000, 6.671]],
  "species": ["In", "In", "Tc", "Bi", "O", "O", "O", "O", "O", "O", "O", "O"],
  "fractional_positions": [[0.000, 0.000, 0.244], [0.000, 0.000, 0.756], [0.500, 0.500, 0.000], [0.500, 0.500, 0.500], [0.186, 0.186, 0.500], [0.219, 0.219, 0.000], [0.315, 0.685, 0.215], [0.315, 0.685, 0.785], [0.685, 0.315, 0.215], [0.685, 0.315, 0.785], [0.781, 0.781, 0.000], [0.814, 0.814, 0.500]]
}



# 17
{
  "formula": "TiIn2BiO6",
  "functional": "PBE",
  "state": "optimized geometry",
  "volume_a3_per_atom": 15.79,
  "raw_formation_energy_kj_per_mol_atoms": -146,
  "lattice": [[5.471, 0.000, 0.000], [0.000, 5.471, 0.000], [0.000, 0.000, 5.274]],
  "species": ["Ti", "In", "In", "Bi", "O", "O", "O", "O", "O", "O"],
  "fractional_positions": [[0.000, 0.000, 0.000], [0.000, 0.500, 0.368], [0.500, 0.000, 0.368], [0.500, 0.500, 0.945], [0.000, 0.000, 0.665], [0.234, 0.234, 0.144], [0.234, 0.766, 0.144], [0.500, 0.500, 0.526], [0.766, 0.234, 0.144], [0.766, 0.766, 0.144]]
}



# 18
{
  "formula": "TiInBi2O6",
  "functional": "PBE",
  "state": "optimized geometry",
  "volume_a3_per_atom": 13.67,
  "raw_formation_energy_kj_per_mol_atoms": -162,
  "lattice": [[2.931, 1.692, 4.592], [-2.931, 1.692, 4.592], [0.000, -3.385, 4.592]],
  "species": ["Ti", "In", "Bi", "Bi", "O", "O", "O", "O", "O", "O"],
  "fractional_positions": [[0.000, 0.000, 0.000], [0.511, 0.511, 0.511], [0.232, 0.232, 0.232], [0.755, 0.755, 0.755], [0.166, 0.816, 0.348], [0.279, 0.694, 0.865], [0.348, 0.166, 0.816], [0.694, 0.865, 0.279], [0.816, 0.348, 0.166], [0.865, 0.279, 0.694]]
}



# 19
{
  "formula": "TlIn2BiO6",
  "functional": "PBE",
  "state": "optimized geometry",
  "volume_a3_per_atom": 14.49,
  "raw_formation_energy_kj_per_mol_atoms": -118,
  "lattice": [[2.893, 1.670, 4.996], [-2.893, 1.670, 4.996], [0.000, -3.341, 4.996]],
  "species": ["Tl", "In", "In", "Bi", "O", "O", "O", "O", "O", "O"],
  "fractional_positions": [[0.000, 0.000, 0.000], [0.282, 0.282, 0.282], [0.783, 0.783, 0.783], [0.502, 0.502, 0.502], [0.083, 0.408, 0.667], [0.153, 0.922, 0.579], [0.408, 0.667, 0.083], [0.579, 0.153, 0.922], [0.667, 0.083, 0.408], [0.922, 0.579, 0.153]]
}